# 1
{
  "formula": "Fe4Br",
  "functional": "GGA-PBE",
  "state": "relaxed",
  "lattice_angstrom": [[4.309, 0.000, 0.000], [0.000, 4.309, 0.000], [0.000, 0.000, 4.309]],
  "species": ["Fe", "Fe", "Fe", "Fe", "Br"],
  "fractional_positions": [[0.000, 0.000, 0.000], [0.000, 0.500, 0.500], [0.500, 0.000, 0.500], [0.500, 0.500, 0.000], [0.500, 0.500, 0.500]],
  "e_above_lowest_polymorph_mev_per_atom": 767,
  "spacegroup": "Pm-3m (221)"
}

# 2
{
  "formula": "FeBr",
  "functional": "GGA-PBE",
  "state": "relaxed",
  "lattice_angstrom": [[3.275, 0.000, 0.000], [0.000, 3.275, 0.000], [0.000, 0.000, 3.275]],
  "species": ["Fe", "Br"],
  "fractional_positions": [[0.000, 0.000, 0.000], [0.500, 0.500, 0.500]],
  "spacegroup": "Pm-3m (221)"
}

# 3
{
  "formula": "FeBr2",
  "functional": "GGA-PBE",
  "state": "relaxed",
  "lattice_angstrom": [[6.959, 0.000, 0.000], [0.000, 8.409, 0.000], [0.000, 0.000, 6.660]],
  "species": ["Fe", "Fe", "Fe", "Fe", "Br", "Br", "Br", "Br", "Br", "Br", "Br", "Br"],
  "fractional_positions": [[0.066, 0.124, 0.000], [0.434, 0.624, 0.500], [0.566, 0.376, 0.000], [0.934, 0.876, 0.500], [0.070, 0.121, 0.633], [0.100, 0.638, 0.618], [0.400, 0.138, 0.118], [0.430, 0.621, 0.133], [0.570, 0.379, 0.633], [0.600, 0.862, 0.618], [0.900, 0.362, 0.118], [0.930, 0.879, 0.133]],
  "spacegroup": "Pna2_1 (33)"
}

| no. | E_form (uncorrected) (eV/atom) |
| --- | --- |
| 1 | 1.327 |
| 2 | 0.634 |
| 3 | -0.387 |